[1]
Density functional theory data (PBE) for an optimized crystal structure of AlCdFeNi.

a b c (Å): 6.0599 6.0599 6.0599
angles (deg): 90.00 90.00 90.00
Space group F-43m (No. 216)
One atom of each set of equivalent atoms:
Al  0.0000  0.0000  0.0000
Cd  0.0000  0.0000  0.5000
Fe  0.2500  0.2500  0.2500
Ni  0.2500  0.2500  0.7500

Results
**Final energy**: -4.61 eV/atom

[2]
Density functional theory data (PBE) for an optimized crystal structure of LaNdPBr.

a b c (Å): 4.1606 4.1606 15.0158
angles (deg): 90.00 90.00 120.00
Space group P-6m2 (No. 187)
One atom of each set of equivalent atoms:
La  0.0000  0.0000  0.1501
Nd  0.6667  0.3333  0.3552
P  0.3333  0.6667  0.2558
Br  0.0000  0.0000  0.5000
Br  0.6667  0.3333  0.0000

Results
**Final energy**: -5.76 eV/atom

[3]
Density functional theory data (PBE) for an optimized crystal structure of HoPaBe.

a b c (Å): 6.5293 6.5293 6.5293
angles (deg): 90.00 90.00 90.00
Space group F-43m (No. 216)
One atom of each set of equivalent atoms:
Ho  0.0000  0.0000  0.0000
Pa  0.0000  0.0000  0.5000
Be  0.2500  0.2500  0.2500

Results
**Final energy**: -5.42 eV/atom

[4]
Density functional theory data (PBE) for an optimized crystal structure of LaPrSi2Ni4.

a b c (Å): 4.0316 4.0316 9.8271
angles (deg): 90.00 90.00 120.00
Space group P-6m2 (No. 187)
One atom of each set of equivalent atoms:
La  0.0000  0.0000  0.0000
Pr  0.3333  0.6667  0.5000
Si  0.6667  0.3333  0.2502
Ni  0.0000  0.0000  0.2965
Ni  0.3333  0.6667  0.2036

Results
**Final energy**: -6.00 eV/atom